(1)
# TbPm2Er6Tm

Crystalline TbPm2Er6Tm at its relaxed geometry (PBE-GGA, the Alexandria database).

The structure in CIF format:
```
data_TbPm2Er6Tm
_cell_length_a 8.708
_cell_length_b 8.708
_cell_length_c 9.595
_cell_angle_alpha 94.50
_cell_angle_beta 94.50
_cell_angle_gamma 118.06
_space_group_name_H-M_alt 'P 1'
_space_group_IT_number 1
_space_group_name_Hall 'P 1'
loop_
_atom_site_label
_atom_site_type_symbol
_atom_site_fract_x
_atom_site_fract_y
_atom_site_fract_z
_atom_site_occupancy
Tb1 Tb 0.019 0.981 0.750 1
Tb2 Tb 0.981 0.019 0.250 1
Pm1 Pm 0.195 0.299 0.543 1
Pm2 Pm 0.299 0.195 0.043 1
Pm3 Pm 0.701 0.805 0.957 1
Pm4 Pm 0.805 0.701 0.457 1
Er1 Er 0.021 0.574 0.687 1
Er2 Er 0.125 0.745 0.057 1
Er3 Er 0.255 0.875 0.443 1
Er4 Er 0.292 0.504 0.881 1
Er5 Er 0.426 0.979 0.813 1
Er6 Er 0.496 0.708 0.619 1
Er7 Er 0.504 0.292 0.381 1
Er8 Er 0.574 0.021 0.187 1
Er9 Er 0.708 0.496 0.119 1
Er10 Er 0.745 0.125 0.557 1
Er11 Er 0.875 0.255 0.943 1
Er12 Er 0.979 0.426 0.313 1
Tm1 Tm 0.407 0.593 0.250 1
Tm2 Tm 0.593 0.407 0.750 1
```

- Magnetic moment: 0.000 μB per cell
- Raw total energy: -4.48 eV/atom
- Energy of formation from the pure elements: 0.117 eV/atom

(2)
# GdTmSnRu

Crystalline GdTmSnRu at its relaxed geometry (PBE-GGA, the Alexandria database).

The structure in CIF format:
```
data_GdTmSnRu
_cell_length_a 5.060
_cell_length_b 5.060
_cell_length_c 5.060
_cell_angle_alpha 60.00
_cell_angle_beta 60.00
_cell_angle_gamma 60.00
_space_group_name_H-M_alt 'P 1'
_space_group_IT_number 1
_space_group_name_Hall 'P 1'
loop_
_atom_site_label
_atom_site_type_symbol
_atom_site_fract_x
_atom_site_fract_y
_atom_site_fract_z
_atom_site_occupancy
Gd1 Gd 0.000 0.000 0.000 1
Tm1 Tm 0.500 0.500 0.500 1
Sn1 Sn 0.250 0.250 0.250 1
Ru1 Ru 0.750 0.750 0.750 1
```

- Magnetic moment: 7.010 μB per cell
- Raw total energy: -8.37 eV/atom
- Energy of formation from the pure elements: -0.408 eV/atom

(3)
# Pm7Ga2Au2

Crystalline Pm7Ga2Au2 at its relaxed geometry (PBE-GGA, the Alexandria database).

The structure in CIF format:
```
data_Pm7Ga2Au2
_cell_length_a 6.870
_cell_length_b 6.870
_cell_length_c 7.405
_cell_angle_alpha 90.00
_cell_angle_beta 90.00
_cell_angle_gamma 108.59
_space_group_name_H-M_alt 'P 1'
_space_group_IT_number 1
_space_group_name_Hall 'P 1'
loop_
_atom_site_label
_atom_site_type_symbol
_atom_site_fract_x
_atom_site_fract_y
_atom_site_fract_z
_atom_site_occupancy
Pm1 Pm 0.000 0.000 0.000 1
Pm2 Pm 0.000 0.500 0.279 1
Pm3 Pm 0.000 0.500 0.721 1
Pm4 Pm 0.500 0.000 0.279 1
Pm5 Pm 0.500 0.000 0.721 1
Pm6 Pm 0.500 0.500 0.267 1
Pm7 Pm 0.500 0.500 0.733 1
Ga1 Ga 0.162 0.162 0.500 1
Ga2 Ga 0.838 0.838 0.500 1
Au1 Au 0.290 0.710 0.000 1
Au2 Au 0.710 0.290 0.000 1
```

- Magnetic moment: 0.000 μB per cell
- Raw total energy: -4.45 eV/atom
- Energy of formation from the pure elements: -0.283 eV/atom

(4)
# Ac2GdCu

Crystalline Ac2GdCu at its relaxed geometry (PBE-GGA, the Alexandria database).

The structure in CIF format:
```
data_Ac2GdCu
_cell_length_a 3.825
_cell_length_b 3.825
_cell_length_c 9.063
_cell_angle_alpha 90.00
_cell_angle_beta 90.00
_cell_angle_gamma 90.00
_space_group_name_H-M_alt 'P 1'
_space_group_IT_number 1
_space_group_name_Hall 'P 1'
loop_
_atom_site_label
_atom_site_type_symbol
_atom_site_fract_x
_atom_site_fract_y
_atom_site_fract_z
_atom_site_occupancy
Ac1 Ac 0.000 0.000 0.205 1
Ac2 Ac 0.000 0.000 0.795 1
Gd1 Gd 0.500 0.500 0.500 1
Cu1 Cu 0.500 0.500 0.000 1
```

- Magnetic moment: 7.879 μB per cell
- Raw total energy: -6.61 eV/atom
- Distance to the lowest polymorph of the same formula: 0 kJ/mol of formula units
- Energy of formation from the pure elements: -0.012 eV/atom